The following is a PBE calculation of an optimized crystal structure of Cr2FeTc, from Alexandria via LeMat-Bulk.

Geometry as POSCAR:
```
Cr2FeTc
1.0
8.572 0.006 0.004
8.177 2.572 0.004
8.177 1.259 2.243
Fe Cr Tc
1 2 1
Cartesian
18.695 2.878 1.688
0.127 0.019 0.011
12.337 1.899 1.114
6.232 0.959 0.563
```

Output
Theoretical density (g/cm³): 8.69
ΔH_f (0 K) (kJ/mol of formula units): 100
Space group: R-3m, No. 166
Electronic total energy (Ha/atom): -0.340